No. 1
The following is a PBE-GGA calculation of a relaxed CsFe2AgCl crystal, from Alexandria.

The structure in POSCAR format:
```
CsFe2AgCl
1.0
5.081 0.000 0.000
0.000 5.081 0.000
0.000 0.000 6.082
Cs Fe Ag Cl
1 2 1 1
Cartesian
0.000 0.000 0.000
0.000 2.540 0.000
2.540 0.000 0.000
0.000 0.000 3.041
2.540 2.540 3.041
```

Output
total magnetization: 4.96 μB per cell
symmetry: P4/mmm (123)
electronic total energy: -2.48 eV/atom
energy relative to the elements, uncorrected: 2.02 eV per atom

=====

No. 2
The following is a PBE-GGA calculation of a relaxed CsFeAgCl4 crystal, from Alexandria.

The structure in POSCAR format:
```
CsFeAgCl4
1.0
6.207 0.000 0.000
0.000 7.436 0.000
-2.940 0.000 9.158
Cs Fe Ag Cl
2 2 2 8
Cartesian
0.248 1.859 3.620
3.019 5.577 5.538
-1.539 1.859 7.366
4.807 5.577 1.792
2.304 5.577 0.081
0.963 1.859 9.078
0.262 1.859 0.172
-0.082 5.577 3.660
-0.094 0.042 7.259
-0.094 3.676 7.259
3.362 3.760 1.900
3.362 7.394 1.900
3.350 1.859 5.499
3.006 5.577 8.986
```

Output
total magnetization: 8.00 μB per cell
symmetry: P2_1/m (11)
electronic total energy: -3.80 eV/atom
energy relative to the elements, uncorrected: -1.01 eV per atom